First-principles (PBE+U) data for an optimized crystal structure of Li3V3O5F3, as listed in Alexandria via LeMat-Bulk.

Summary:
ΔE to the lowest computed polymorph (meV per atom): 10
V (Å³/cell): 153.62

Cell and atoms, written as CIF:
```
data_Li3V3O5F3
_symmetry_space_group_name_H-M 'P 1'
_symmetry_Int_Tables_number 1
_symmetry_space_group_name_Hall 'P 1'
_cell_length_a 5.8842
_cell_length_b 5.9628
_cell_length_c 6.0164
_cell_angle_alpha 60.82
_cell_angle_beta 89.90
_cell_angle_gamma 61.10
loop_
_atom_site_label
_atom_site_fract_x
_atom_site_fract_y
_atom_site_fract_z
Li1 0.0000 0.0000 0.0000
Li2 0.2644 0.4479 0.7923
Li3 0.6434 0.7186 0.4014
V1 0.1380 0.2200 0.4003
V2 0.6490 0.7105 0.8946
V3 0.6570 0.1811 0.4215
O1 0.4054 0.2163 0.1960
O2 0.4080 0.1707 0.6562
O3 0.8595 0.7445 0.6461
O4 0.8600 0.2442 0.5959
O5 0.8718 0.2528 0.1565
F1 0.3855 0.7350 0.6403
F2 0.4085 0.7100 0.1478
F3 0.8892 0.7044 0.1545
```